Computed, not measured: a geometry-optimized In2BF6 structure at the GGA-PBE level of DFT.

Geometry as POSCAR:
```
In2BF6
1.0
5.321 -4.158 0.000
5.321 4.158 0.000
-3.900 0.000 7.074
In B F
4 2 12
direct
0.041 0.262 0.483
0.262 0.041 0.983
0.738 0.959 0.017
0.959 0.738 0.517
0.476 0.524 0.750
0.524 0.476 0.250
0.076 0.112 0.183
0.112 0.076 0.683
0.303 0.450 0.152
0.355 0.607 0.878
0.393 0.645 0.622
0.450 0.303 0.652
0.550 0.697 0.348
0.607 0.355 0.378
0.645 0.393 0.122
0.697 0.550 0.848
0.888 0.924 0.317
0.924 0.888 0.817
```

Properties
energy above the most stable polymorph in this dataset: 0.00 eV per formula unit
formation energy (no corrections): -2.347 eV/atom
total magnetization: 0.00 Bohr magnetons per cell

=====

Computed, not measured: a geometry-optimized InBF2 structure at the GGA-PBE level of DFT.

Geometry as POSCAR:
```
InBF2
1.0
3.167 0.000 0.000
-1.584 2.743 0.000
0.000 0.000 21.350
In B F
3 3 6
direct
0.000 0.000 0.000
0.333 0.667 0.667
0.667 0.333 0.333
0.000 0.000 0.500
0.333 0.667 0.167
0.667 0.333 0.833
0.000 0.000 0.109
0.000 0.000 0.891
0.333 0.667 0.558
0.333 0.667 0.776
0.667 0.333 0.224
0.667 0.333 0.442
```

Properties
energy above the most stable polymorph in this dataset: 2.36 eV per formula unit
formation energy (no corrections): -0.287 eV/atom
total magnetization: 0.00 Bohr magnetons per cell

=====

Computed, not measured: a geometry-optimized In2B2F structure at the GGA-PBE level of DFT.

Geometry as POSCAR:
```
In2B2F
1.0
2.849 0.000 0.000
0.000 2.849 0.000
0.000 0.000 17.618
In B F
4 4 2
direct
0.000 0.000 0.112
0.000 0.000 0.888
0.500 0.500 0.388
0.500 0.500 0.612
0.000 0.500 0.250
0.000 0.500 0.750
0.500 0.000 0.250
0.500 0.000 0.750
0.000 0.000 0.500
0.500 0.500 0.000
```

Properties
energy above the most stable polymorph in this dataset: 1.00 eV per formula unit
formation energy (no corrections): 0.247 eV/atom
total magnetization: 0.00 Bohr magnetons per cell

=====

Computed, not measured: a geometry-optimized InBF3 structure at the GGA-PBE level of DFT.

Geometry as POSCAR:
```
InBF3
1.0
3.983 0.000 0.000
0.000 3.983 0.000
0.000 0.000 3.983
In B F
1 1 3
direct
0.000 0.000 0.000
0.500 0.500 0.500
0.000 0.500 0.500
0.500 0.000 0.500
0.500 0.500 0.000
```

Properties
energy above the most stable polymorph in this dataset: 5.17 eV per formula unit
formation energy (no corrections): -0.935 eV/atom
total magnetization: 0.00 Bohr magnetons per cell

=====

Computed, not measured: a geometry-optimized In2B2F structure at the GGA-PBE level of DFT.

Geometry as POSCAR:
```
In2B2F
1.0
6.694 0.000 0.000
0.000 6.694 0.000
0.000 0.000 3.366
In B F
4 4 2
direct
0.220 0.280 0.000
0.280 0.780 0.000
0.720 0.220 0.000
0.780 0.720 0.000
0.084 0.584 0.500
0.416 0.084 0.500
0.584 0.916 0.500
0.916 0.416 0.500
0.000 0.000 0.000
0.500 0.500 0.000
```

Properties
energy above the most stable polymorph in this dataset: 0.00 eV per formula unit
formation energy (no corrections): 0.047 eV/atom
total magnetization: 0.00 Bohr magnetons per cell

=====

Computed, not measured: a geometry-optimized In3B2F8 structure at the GGA-PBE level of DFT.

Geometry as POSCAR:
```
In3B2F8
1.0
2.663 1.537 9.813
-2.663 1.537 9.813
0.000 -3.075 9.813
In B F
3 2 8
direct
0.000 0.000 0.000
0.163 0.163 0.163
0.837 0.837 0.837
0.402 0.402 0.402
0.598 0.598 0.598
0.272 0.272 0.708
0.272 0.708 0.272
0.292 0.728 0.728
0.353 0.353 0.353
0.647 0.647 0.647
0.708 0.272 0.272
0.728 0.292 0.728
0.728 0.728 0.292
```

Properties
formation energy (no corrections): -2.294 eV/atom
total magnetization: 0.00 Bohr magnetons per cell

=====

Computed, not measured: a geometry-optimized InBF2 structure at the GGA-PBE level of DFT.

Geometry as POSCAR:
```
InBF2
1.0
6.077 0.000 0.000
0.000 6.077 0.000
0.000 0.000 6.077
In B F
4 4 8
direct
0.000 0.000 0.000
0.000 0.500 0.500
0.500 0.000 0.500
0.500 0.500 0.000
0.000 0.000 0.500
0.000 0.500 0.000
0.500 0.000 0.000
0.500 0.500 0.500
0.250 0.250 0.250
0.250 0.250 0.750
0.250 0.750 0.250
0.250 0.750 0.750
0.750 0.250 0.250
0.750 0.250 0.750
0.750 0.750 0.250
0.750 0.750 0.750
```

Properties
energy above the most stable polymorph in this dataset: 2.44 eV per formula unit
formation energy (no corrections): -0.265 eV/atom
total magnetization: 0.00 Bohr magnetons per cell

=====

Computed, not measured: a geometry-optimized InB2F structure at the GGA-PBE level of DFT.

Geometry as POSCAR:
```
InB2F
1.0
5.883 0.000 0.000
0.000 5.883 0.000
0.000 0.000 5.883
In B F
4 8 4
direct
0.000 0.000 0.000
0.000 0.500 0.500
0.500 0.000 0.500
0.500 0.500 0.000
0.250 0.250 0.250
0.250 0.250 0.750
0.250 0.750 0.250
0.250 0.750 0.750
0.750 0.250 0.250
0.750 0.250 0.750
0.750 0.750 0.250
0.750 0.750 0.750
0.000 0.000 0.500
0.000 0.500 0.000
0.500 0.000 0.000
0.500 0.500 0.500
```

Properties
energy above the most stable polymorph in this dataset: 4.34 eV per formula unit
formation energy (no corrections): 1.180 eV/atom
total magnetization: 0.00 Bohr magnetons per cell